1.
DFT (GGA-PBEsol) results for a geometry-optimized NaW2Br6O2 structure.

The space group is C2/m (No. 12) and the conventional cell measures 17.1331, 3.7829 and 10.9716 Å, with angles of 90.00, 129.60 and 90.00 degrees. The inequivalent atoms are Na at (0.0000, 0.0000, 0.0000), W at (0.0003, 0.5000, 0.3254), Br at (0.1332, 0.5000, 0.6329), Br at (0.1347, 0.5000, 0.9688), Br at (0.1359, 0.5000, 0.3013) and O at (0.0003, 0.0000, 0.3293).

The value obtained for the energy relative to the elements, uncorrected is -11.4 eV/f.u. The calculation puts the density of states at the Fermi level at 0.260 states/eV per atom.

---

2.
DFT (GGA-PBEsol) results for a geometry-optimized NaOs2Br structure.

The space group is Fm-3m (No. 225) and the conventional cell measures 6.2323, 6.2323 and 6.2323 Å, with angles of 90.00, 90.00 and 90.00 degrees. The inequivalent atoms are Na at (0.0000, 0.0000, 0.0000), Os at (0.2500, 0.2500, 0.2500) and Br at (0.0000, 0.0000, 0.5000).

The value obtained for the energy relative to the elements, uncorrected is 7.2 eV/f.u. The calculation puts the density of states at the Fermi level at 0.757 states/eV per atom.

---

3.
DFT (GGA-PBEsol) results for a geometry-optimized NaTa2OsBr structure.

The space group is P4/mmm (No. 123) and the conventional cell measures 4.6742, 4.6742 and 4.4610 Å, with angles of 90.00, 90.00 and 90.00 degrees. The inequivalent atoms are Na at (0.0000, 0.0000, 0.0000), Ta at (0.0000, 0.5000, 0.5000), Os at (0.5000, 0.5000, 0.0000) and Br at (0.0000, 0.0000, 0.5000).

The value obtained for the energy relative to the elements, uncorrected is 8.7 eV/f.u. The calculation puts the density of states at the Fermi level at 1.113 states/eV per atom.

---

Question: Look up the energy relative to the elements, uncorrected of the second one.
Answer: 7.2 eV/f.u.

---

Question: What is the energy relative to the elements, uncorrected in the second record?
Answer: 7.2 eV/f.u.

---

Question: Look up the energy relative to the elements, uncorrected of the first one.
Answer: -11.4 eV/f.u.